Record 1
# LiCu2B2Pt5 (PBE, optimized geometry)
# - Calculated formation energy: -0.251 eV per atom
# - DOS at the Fermi energy: 4.59 states/eV/cell
data_LiCu2B2Pt5
_space_group_name_H-M_alt 'P 4/m b m'
_space_group_IT_number 127
_space_group_name_Hall '-P 4 2ab'
_cell_length_a 9.286
_cell_length_b 9.286
_cell_length_c 2.971
_cell_angle_alpha 90.00
_cell_angle_beta 90.00
_cell_angle_gamma 90.00
loop_
_atom_site_label
_atom_site_fract_x
_atom_site_fract_y
_atom_site_fract_z
_atom_site_occupancy
Li1 0.000 0.000 0.000 1
Cu1 0.179 0.321 0.000 1
B1 0.135 0.635 0.000 1
Pt1 0.000 0.500 0.500 1
Pt2 0.069 0.791 0.500 1

---

Record 2
# LiCuBPt2 (PBE, optimized geometry)
# - Calculated formation energy: -0.316 eV per atom
# - DOS at the Fermi energy: 1.04 states/eV/cell
data_LiCuBPt2
_space_group_name_H-M_alt 'P 4/m m m'
_space_group_IT_number 123
_space_group_name_Hall '-P 4 2'
_cell_length_a 4.110
_cell_length_b 4.110
_cell_length_c 4.087
_cell_angle_alpha 90.00
_cell_angle_beta 90.00
_cell_angle_gamma 90.00
loop_
_atom_site_label
_atom_site_fract_x
_atom_site_fract_y
_atom_site_fract_z
_atom_site_occupancy
Li1 0.000 0.000 0.000 1
Cu1 0.500 0.500 0.000 1
B1 0.500 0.500 0.500 1
Pt1 0.000 0.500 0.500 1

---

Record 3
# LiCu2BRh (PBE, optimized geometry)
# - Calculated formation energy: -0.066 eV per atom
# - DOS at the Fermi energy: 3.07 states/eV/cell
data_LiCu2BRh
_space_group_name_H-M_alt 'P 4/m m m'
_space_group_IT_number 123
_space_group_name_Hall '-P 4 2'
_cell_length_a 3.982
_cell_length_b 3.982
_cell_length_c 4.007
_cell_angle_alpha 90.00
_cell_angle_beta 90.00
_cell_angle_gamma 90.00
loop_
_atom_site_label
_atom_site_fract_x
_atom_site_fract_y
_atom_site_fract_z
_atom_site_occupancy
Li1 0.000 0.000 0.000 1
Cu1 0.000 0.500 0.500 1
B1 0.500 0.500 0.500 1
Rh1 0.500 0.500 0.000 1

---

Record 4
# LiCuBRh2 (PBE, optimized geometry)
# - Calculated formation energy: 1.214 eV per atom
# - DOS at the Fermi energy: 2.48 states/eV/cell
data_LiCuBRh2
_space_group_name_H-M_alt 'P 4/m m m'
_space_group_IT_number 123
_space_group_name_Hall '-P 4 2'
_cell_length_a 4.109
_cell_length_b 4.109
_cell_length_c 3.706
_cell_angle_alpha 90.00
_cell_angle_beta 90.00
_cell_angle_gamma 90.00
loop_
_atom_site_label
_atom_site_fract_x
_atom_site_fract_y
_atom_site_fract_z
_atom_site_occupancy
Li1 0.000 0.000 0.000 1
Cu1 0.000 0.000 0.500 1
B1 0.500 0.500 0.500 1
Rh1 0.000 0.500 0.000 1

---

Record 5
# LiCuBRh2 (PBE, optimized geometry)
# - Calculated formation energy: -0.118 eV per atom
# - DOS at the Fermi energy: 5.64 states/eV/cell
data_LiCuBRh2
_space_group_name_H-M_alt 'P 4/m m m'
_space_group_IT_number 123
_space_group_name_Hall '-P 4 2'
_cell_length_a 4.080
_cell_length_b 4.080
_cell_length_c 3.941
_cell_angle_alpha 90.00
_cell_angle_beta 90.00
_cell_angle_gamma 90.00
loop_
_atom_site_label
_atom_site_fract_x
_atom_site_fract_y
_atom_site_fract_z
_atom_site_occupancy
Li1 0.000 0.000 0.000 1
Cu1 0.500 0.500 0.000 1
B1 0.500 0.500 0.500 1
Rh1 0.000 0.500 0.500 1

---

Record 6
# LiCuB2S4 (PBE, optimized geometry)
# - E_form (uncorrected): -45 kJ/mol of atoms
data_LiCuB2S4
_space_group_name_H-M_alt 'I -4 2 m'
_space_group_IT_number 121
_space_group_name_Hall 'I -4 2'
_cell_length_a 4.576
_cell_length_b 4.576
_cell_length_c 11.056
_cell_angle_alpha 90.00
_cell_angle_beta 90.00
_cell_angle_gamma 90.00
loop_
_atom_site_label
_atom_site_fract_x
_atom_site_fract_y
_atom_site_fract_z
_atom_site_occupancy
Li1 0.000 0.000 0.000 1
Cu1 0.000 0.000 0.500 1
B1 0.000 0.500 0.250 1
S1 0.249 0.249 0.648 1

---

Record 7
# LiScCuB2 (PBE, optimized geometry)
# - Calculated formation energy: 1.204 eV per atom
# - DOS at the Fermi energy: 1.93 states/eV/cell
data_LiScCuB2
_space_group_name_H-M_alt 'P 4/m m m'
_space_group_IT_number 123
_space_group_name_Hall '-P 4 2'
_cell_length_a 3.851
_cell_length_b 3.851
_cell_length_c 4.091
_cell_angle_alpha 90.00
_cell_angle_beta 90.00
_cell_angle_gamma 90.00
loop_
_atom_site_label
_atom_site_fract_x
_atom_site_fract_y
_atom_site_fract_z
_atom_site_occupancy
Li1 0.000 0.000 0.000 1
Sc1 0.000 0.000 0.500 1
Cu1 0.500 0.500 0.500 1
B1 0.000 0.500 0.000 1

---

Record 8
# Li2CuSnB (PBE, optimized geometry)
# - Calculated formation energy: 0.925 eV per atom
# - DOS at the Fermi energy: 1.53 states/eV/cell
data_Li2CuSnB
_space_group_name_H-M_alt 'P 4/m m m'
_space_group_IT_number 123
_space_group_name_Hall '-P 4 2'
_cell_length_a 5.410
_cell_length_b 5.410
_cell_length_c 4.011
_cell_angle_alpha 90.00
_cell_angle_beta 90.00
_cell_angle_gamma 90.00
loop_
_atom_site_label
_atom_site_fract_x
_atom_site_fract_y
_atom_site_fract_z
_atom_site_occupancy
Li1 0.000 0.500 0.000 1
Cu1 0.000 0.000 0.500 1
Sn1 0.500 0.500 0.000 1
B1 0.500 0.500 0.500 1